The following is a PBE-GGA calculation of Ca2CeAg after structural relaxation, from Alexandria via LeMat-Bulk.

Output
SG: R-3m
Formation energy, meV/atom: 196

Cell lengths 3.571, 3.571, 11.804 Å; angles 81.30, 81.30, 60.00 degrees
Positions (direct):
Ca 0.100 0.100 0.699
Ce 0.000 0.000 0.000
Ag 0.500 0.500 0.500
Ca 0.900 0.900 0.301

=====

The following is a PBE-GGA calculation of CaHoCuPd after structural relaxation, from Alexandria via LeMat-Bulk.

Output
SG: F-43m
Formation energy, meV/atom: -463

Cell lengths 4.949, 4.949, 4.949 Å; angles 60.00, 60.00, 60.00 degrees
Positions (direct):
Pd 0.750 0.750 0.750
Ho 0.000 0.000 0.000
Cu 0.250 0.250 0.250
Ca 0.500 0.500 0.500

=====

no.,Fermi-level density of states (states/eV per atom)
1,1.877
2,0.424